Material: NaRuS2O8
Method: DFT, PBE-GGA
State: relaxed

Cell lengths 4.7845, 4.7845, 7.8664 Å; angles 90.00, 90.00, 120.00 degrees
With the nearest neighbours (Å) after each atom.
Element x y z (fractional)
S: 0.3333 0.6667 0.7251  4 O 1.46-1.51
S: 0.6667 0.3333 0.2749  4 O 1.46-1.51
O: 0.6892 0.0478 0.3381  1 S 1.51
O: 0.6414 0.6892 0.6619  1 S 1.51
O: 0.9522 0.6414 0.3381  1 S 1.51
O: 0.0478 0.3586 0.6619  1 S 1.51
O: 0.3586 0.3108 0.3381  1 S 1.51
O: 0.6667 0.3333 0.0892  1 S 1.46
O: 0.3333 0.6667 0.9108  1 S 1.46
O: 0.3108 0.9522 0.6619  1 S 1.51
Na: 0.0000 0.0000 0.0000  12 O 2.85-3.11
Ru: 0.0000 0.0000 0.5000  6 O 2.06

Energy relative to the elements, uncorrected: -1263.4 meV per atom
Space group: P-3
Total DFT energy (no corrections): -6.140 eV per atom



Material: NaSbRuO6
Method: DFT, PBE-GGA
State: relaxed

Cell lengths 5.2882, 5.2882, 10.3841 Å; angles 90.00, 90.00, 120.00 degrees
With the nearest neighbours (Å) after each atom.
Element x y z (fractional)
O: 0.6266 0.0109 0.8554  1 Ru 1.95, 1 Sb 2.02
O: 0.3734 0.3844 0.3554  1 Ru 1.95, 1 Sb 2.02
O: 0.9891 0.3734 0.6446  1 Ru 1.95, 1 Sb 2.02
O: 0.3734 0.9891 0.1446  1 Ru 1.95, 1 Sb 2.02
O: 0.6156 0.9891 0.3554  1 Ru 1.95, 1 Sb 2.02
O: 0.9891 0.6156 0.8554  1 Ru 1.95, 1 Sb 2.02
O: 0.0109 0.3844 0.1446  1 Ru 1.95, 1 Sb 2.02
O: 0.3844 0.0109 0.6446  1 Ru 1.95, 1 Sb 2.02
O: 0.6156 0.6266 0.1446  1 Ru 1.95, 1 Sb 2.02
O: 0.0109 0.6266 0.3554  1 Ru 1.95, 1 Sb 2.02
O: 0.3844 0.3734 0.8554  1 Ru 1.95, 1 Sb 2.02
O: 0.6266 0.6156 0.6446  1 Ru 1.95, 1 Sb 2.02
Na: 0.0000 0.0000 0.0000  6 O 2.50
Na: 0.0000 0.0000 0.5000  6 O 2.50
Ru: 0.3333 0.6667 0.2500  6 O 1.95
Ru: 0.6667 0.3333 0.7500  6 O 1.95
Sb: 0.3333 0.6667 0.7500  6 O 2.02
Sb: 0.6667 0.3333 0.2500  6 O 2.02

Energy relative to the elements, uncorrected: -1150.7 meV per atom
Space group: P-31c
Total DFT energy (no corrections): -6.091 eV per atom